(1)
Below is crystalline Ta2SiPb at its relaxed geometry, with properties calculated at the PBE level.

a = 3.5057 Å, b = 4.3790 Å, c = 4.8977 Å
α = 90.00°, β = 90.00°, γ = 90.00°
Element x y z (fractional)
Ta: 0.0000 0.0000 0.0000
Ta: 0.5000 0.0000 0.5000
Si: 0.0000 0.5000 0.5000
Pb: 0.5000 0.5000 0.0000

Computed properties:
Fermi-level density of states in states/eV/f.u.: 2.1
Symmetry: Pmmm (47)
E in Ry per atom: -0.574
Offset from the most stable computed form in meV/atom: 247.0
Volume in Å³/cell: 75
Magnetization in Bohr magnetons per cell: 0.00

***

(2)
Below is crystalline TaSiPb2 at its relaxed geometry, with properties calculated at the PBE level.

a = 7.7680 Å, b = 7.7680 Å, c = 7.7680 Å
α = 130.88°, β = 130.88°, γ = 72.00°
Element x y z (fractional)
Ta: 0.0000 0.0000 0.0000
Ta: 0.7500 0.2500 0.5000
Si: 0.2500 0.7500 0.5000
Si: 0.5000 0.5000 0.0000
Pb: 0.1318 0.6250 0.0068
Pb: 0.3750 0.3818 0.5068
Pb: 0.6182 0.1250 0.9932
Pb: 0.8750 0.8682 0.4932

Computed properties:
Fermi-level density of states in states/eV/f.u.: 3.7
Symmetry: I-42d (122)
E in Ry per atom: -0.361
Volume in Å³/cell: 262
Magnetization in Bohr magnetons per cell: 0.00